Density functional theory data (PBE) for a relaxed Na5Zn4P4 crystal.

a = 4.0141 Å, b = 8.3558 Å, c = 8.3558 Å
α = 86.69°, β = 76.10°, γ = 76.10°
With the nearest neighbours (Å) after each atom.
Fractional coordinates of all 13 atoms:
Na1 0.3710 0.3252 0.9327  5 P 3.04-3.11, 4 Zn 3.14-3.36, 2 Na 3.36
P1 0.9473 0.7752 0.3303  3 Zn 2.41
P2 0.2776 0.6697 0.7752  3 Zn 2.41
P3 0.0527 0.2248 0.6697  3 Zn 2.41
Zn1 0.1132 0.4806 0.2930  3 P 2.41
Zn2 0.5938 0.2930 0.5194  3 P 2.41
Na2 0.6290 0.6748 0.0673  5 P 3.04-3.11, 4 Zn 3.14-3.36, 2 Na 3.36
Zn3 0.8868 0.5194 0.7070  3 P 2.41
Zn4 0.4062 0.7070 0.4806  3 P 2.41
Na3 0.3037 0.0673 0.3252  5 P 3.04-3.11, 4 Zn 3.14-3.36, 2 Na 3.36
Na4 0.0000 0.0000 0.0000  4 P 3.24, 8 Na 3.36
P4 0.7224 0.3303 0.2248  3 Zn 2.41
Na5 0.6963 0.9327 0.6748  5 P 3.04-3.11, 4 Zn 3.14-3.36, 2 Na 3.36

Values from the calculation:
energy relative to the elements	-4.2	eV per formula unit

Density functional theory data (PBE) for a relaxed UCoP2Ir2 crystal.

a = 3.6242 Å, b = 6.0915 Å, c = 8.2291 Å
α = 90.00°, β = 90.00°, γ = 90.00°
With the nearest neighbours (Å) after each atom.
Fractional coordinates of all 12 atoms:
P1 0.0000 0.7569 0.1276  4 Ir 2.31-2.36, 2 Co 2.42
P2 0.0000 0.2569 0.8724  4 Ir 2.31-2.36, 2 Co 2.42
Ir1 0.5000 0.5063 0.8724  3 P 2.31-2.36
Co1 0.5000 0.1466 0.6958  3 P 2.21-2.42
P3 0.5000 0.7849 0.6817  1 Co 2.21, 3 Ir 2.31-2.39
U1 0.0000 0.9726 0.4513  5 P 2.85-2.97, 4 Co 2.91-2.95, 2 U 3.15
Ir2 0.0000 0.8784 0.8584  4 P 2.31-2.39
Ir3 0.5000 0.0063 0.1276  3 P 2.31-2.36
Ir4 0.0000 0.3784 0.1416  4 P 2.31-2.39
Co2 0.5000 0.6466 0.3042  3 P 2.21-2.42
P4 0.5000 0.2849 0.3183  1 Co 2.21, 3 Ir 2.31-2.39
U2 0.0000 0.4726 0.5487  5 P 2.85-2.97, 4 Co 2.91-2.95, 2 U 3.15

Values from the calculation:
energy relative to the elements	-2.9	eV per formula unit

Density functional theory data (PBE) for a relaxed Ca2DyTl crystal.

a = 3.6597 Å, b = 3.6597 Å, c = 12.7410 Å
α = 81.74°, β = 81.74°, γ = 60.00°
With the nearest neighbours (Å) after each atom.
Fractional coordinates of all 4 atoms:
Dy1 0.5000 0.5000 0.5000  6 Dy 3.66, 6 Ca 3.68
Ca1 0.9134 0.9134 0.2598  1 Tl 3.26
Tl1 0.0000 0.0000 0.0000  2 Ca 3.26
Ca2 0.0866 0.0866 0.7402  1 Tl 3.26

Values from the calculation:
energy above the most stable polymorph in this dataset	266	meV per atom
energy relative to the elements	0.4	eV per formula unit

Density functional theory data (PBE) for a relaxed Rb2ZnCdF6 crystal.

a = 6.1321 Å, b = 6.1321 Å, c = 6.1329 Å
α = 60.00°, β = 60.00°, γ = 90.00°
With the nearest neighbours (Å) after each atom.
Fractional coordinates of all 10 atoms:
F1 0.2607 0.2607 0.4786  1 Zn 2.08, 1 Cd 2.26
F2 0.7392 0.7392 0.0000  1 Zn 2.07, 1 Cd 2.26
F3 0.7392 0.2608 0.0000  1 Zn 2.07, 1 Cd 2.26
Zn1 0.5000 0.5000 0.0000  6 F 2.07-2.08
Rb1 0.2500 0.7500 0.5000  12 F 3.07
Cd1 0.0000 0.0000 0.0000  6 F 2.26
F4 0.2608 0.2608 0.0000  1 Zn 2.07, 1 Cd 2.26
Rb2 0.7500 0.2500 0.5000  12 F 3.07
F5 0.2608 0.7392 0.0000  1 Zn 2.07, 1 Cd 2.26
F6 0.7393 0.7393 0.5214  1 Zn 2.08, 1 Cd 2.26

Values from the calculation:
E_form (uncorrected)	-2.50	eV/atom

Density functional theory data (PBE) for a relaxed BeTcCl2 crystal.

a = 3.0640 Å, b = 3.0640 Å, c = 7.6777 Å
α = 90.00°, β = 90.00°, γ = 90.00°
With the nearest neighbours (Å) after each atom.
Fractional coordinates of all 4 atoms:
Cl1 0.5000 0.5000 0.3508  1 Be 2.71, 4 Tc 2.73
Cl2 0.0000 0.0000 0.8795  1 Tc 2.41, 4 Be 2.55
Tc1 0.0000 0.0000 0.5661  1 Cl 2.41, 4 Be 2.41
Be1 0.5000 0.5000 0.7036  4 Tc 2.41, 4 Cl 2.55

Values from the calculation:
E_form (uncorrected)	0.01	eV/atom
energy above the most stable polymorph in this dataset	267	meV per atom

Density functional theory data (PBE) for a relaxed ZrAsBr2 crystal.

a = 3.4072 Å, b = 3.4072 Å, c = 11.7298 Å
α = 90.00°, β = 90.00°, γ = 122.01°
With the nearest neighbours (Å) after each atom.
Fractional coordinates of all 4 atoms:
Zr1 0.5000 0.5000 0.2500  4 Br 2.70
Br1 0.0000 0.0000 0.0675  2 Zr 2.70
As1 0.5000 0.5000 0.7500  6 As 3.30-3.41
Br2 0.0000 0.0000 0.4325  2 Zr 2.70

Values from the calculation:
E_form (uncorrected)	-0.19	eV/atom
energy above the most stable polymorph in this dataset	641	meV per atom